No. 1
# AlCrH PBE optimized geometry
# density	4.47	Mg/m³
# crystal system	orthorhombic
# relative energy among the computed polymorphs	0	meV/atom
# electronic total energy	-5.62	eV per atom
data_AlCrH
_space_group_name_H-M_alt 'P m n 21'
_space_group_IT_number 31
_cell_length_a 2.862
_cell_length_b 4.153
_cell_length_c 4.995
_cell_angle_alpha 90.00
_cell_angle_beta 90.00
_cell_angle_gamma 90.00
loop_
_space_group_symop_operation_xyz
'x,y,z'
'-x+1/2,-y,z+1/2'
'-x,y,z'
'x+1/2,-y,z+1/2'
loop_
_atom_site_label
_atom_site_type_symbol
_atom_site_fract_x
_atom_site_fract_y
_atom_site_fract_z
Al1 Al 0.000 0.009 0.000
Cr1 Cr 0.000 0.494 0.332
H1 H 0.000 0.361 0.666

***

No. 2
# Al3CrH PBE optimized geometry
# density	2.02	Mg/m³
# crystal system	cubic
# relative energy among the computed polymorphs	941	meV/atom
# electronic total energy	-3.84	eV per atom
data_Al3CrH
_space_group_name_H-M_alt 'P m -3 m'
_space_group_IT_number 221
_space_group_name_Hall '-P 4 2 3'
_cell_length_a 4.791
_cell_length_b 4.791
_cell_length_c 4.791
_cell_angle_alpha 90.00
_cell_angle_beta 90.00
_cell_angle_gamma 90.00
loop_
_atom_site_label
_atom_site_type_symbol
_atom_site_fract_x
_atom_site_fract_y
_atom_site_fract_z
Al1 Al 0.000 0.000 0.500
Cr1 Cr 0.000 0.000 0.000
H1 H 0.500 0.500 0.500

***

No. 3
# Al3CrH PBE optimized geometry
# density	3.67	Mg/m³
# crystal system	cubic
# relative energy among the computed polymorphs	0	meV/atom
# electronic total energy	-4.78	eV per atom
data_Al3CrH
_space_group_name_H-M_alt 'P m -3 m'
_space_group_IT_number 221
_space_group_name_Hall '-P 4 2 3'
_cell_length_a 3.928
_cell_length_b 3.928
_cell_length_c 3.928
_cell_angle_alpha 90.00
_cell_angle_beta 90.00
_cell_angle_gamma 90.00
loop_
_atom_site_label
_atom_site_type_symbol
_atom_site_fract_x
_atom_site_fract_y
_atom_site_fract_z
Al1 Al 0.000 0.000 0.500
Cr1 Cr 0.500 0.500 0.500
H1 H 0.000 0.000 0.000

***

No. 4
# AlCrH PBE optimized geometry
# density	4.55	Mg/m³
# crystal system	monoclinic
# relative energy among the computed polymorphs	63	meV/atom
# electronic total energy	-5.56	eV per atom
data_AlCrH
_space_group_name_H-M_alt 'P 1 m 1'
_space_group_IT_number 6
_cell_length_a 3.101
_cell_length_b 3.079
_cell_length_c 6.111
_cell_angle_alpha 90.00
_cell_angle_beta 90.88
_cell_angle_gamma 90.00
loop_
_space_group_symop_operation_xyz
'x,y,z'
'x,-y,z'
loop_
_atom_site_label
_atom_site_type_symbol
_atom_site_fract_x
_atom_site_fract_y
_atom_site_fract_z
Al1 Al 0.000 0.000 0.000
Al2 Al 0.472 0.500 0.320
Cr1 Cr 0.488 0.500 0.804
Cr2 Cr 0.978 0.000 0.546
H1 H 0.876 0.000 0.285
H2 H 0.985 0.500 0.675

***

No. 5
# Al2Cr2H PBE optimized geometry
# density	4.43	Mg/m³
# crystal system	tetragonal
# electronic total energy	-5.83	eV per atom
data_Al2Cr2H
_space_group_name_H-M_alt 'P 4/m b m'
_space_group_IT_number 127
_space_group_name_Hall '-P 4 2ab'
_cell_length_a 5.278
_cell_length_b 5.278
_cell_length_c 4.277
_cell_angle_alpha 90.00
_cell_angle_beta 90.00
_cell_angle_gamma 90.00
loop_
_atom_site_label
_atom_site_type_symbol
_atom_site_fract_x
_atom_site_fract_y
_atom_site_fract_z
Al1 Al 0.168 0.332 0.000
Cr1 Cr 0.148 0.648 0.500
H1 H 0.000 0.000 0.500

***

No. 6
# AlCrH PBE optimized geometry
# density	4.48	Mg/m³
# crystal system	trigonal
# relative energy among the computed polymorphs	0	meV/atom
# electronic total energy	-5.62	eV per atom
data_AlCrH
_space_group_name_H-M_alt 'P 3 m 1'
_space_group_IT_number 156
_cell_length_a 2.8688
_cell_length_b 2.8688
_cell_length_c 4.1586
_cell_angle_alpha 90.00
_cell_angle_beta 90.00
_cell_angle_gamma 120.00
loop_
_space_group_symop_operation_xyz
'x,y,z'
'-y,x-y,z'
'-x+y,-x,z'
'-y,-x,z'
'-x+y,y,z'
'x,x-y,z'
loop_
_atom_site_label
_atom_site_type_symbol
_atom_site_fract_x
_atom_site_fract_y
_atom_site_fract_z
Al1 Al 0.0000 0.0000 0.0000
Cr1 Cr 0.6667 0.3333 0.4843
H1 H 0.3333 0.6667 0.6275